Be3ZnFe: optimized geometry, PBE.

```
5
Lattice="3.9570 0.0000 0.0000 0.0000 3.9570 0.0000 0.0000 0.0000 3.9570" Properties=species:S:1:pos:R:3 pbc="T T T"
Be 0.0000 0.0000 1.9785
Be 0.0000 1.9785 0.0000
Be 1.9785 0.0000 0.0000
Zn 1.9785 1.9785 1.9785
Fe 0.0000 0.0000 0.0000
```

## Properties
Its energy above the most stable polymorph in this dataset is 0 meV per atom. The formation energy is 3.77 eV per formula unit. The calculation puts the size of the total moment at 0.0 μB per formula unit.

Be2ZnFe: optimized geometry, PBE.

```
4
Lattice="2.4308 -3.6949 0.0000 2.4308 3.6949 0.0000 -0.7258 0.0000 2.3047" Properties=species:S:1:pos:R:3 pbc="T T T"
Be 1.2154 1.8475 0.0000
Be 1.2154 -1.8475 0.0000
Zn -0.3629 0.0000 1.1524
Fe 2.0679 0.0000 1.1524
```

## Properties
The formation energy is 0.21 eV per formula unit. The calculation puts the size of the total moment at 1.6 μB per formula unit.

BeZn2Fe: optimized geometry, PBE.

```
4
Lattice="-1.7356 1.7356 3.9420 1.7356 -1.7356 3.9420 1.7356 1.7356 -3.9420" Properties=species:S:1:pos:R:3 pbc="T T T"
Be 0.0000 0.0000 0.0000
Zn 1.7356 0.0000 1.9710
Zn 0.0000 1.7356 1.9710
Fe 0.0000 0.0000 3.9420
```

## Properties
The formation energy is 0.41 eV per formula unit. The calculation puts the size of the total moment at 1.6 μB per formula unit.

BeZnFe4: optimized geometry, PBE.

```
6
Lattice="0.0000 3.2811 3.2811 3.2811 0.0000 3.2811 3.2811 3.2811 0.0000" Properties=species:S:1:pos:R:3 pbc="T T T"
Be 0.0000 0.0000 0.0000
Zn 1.6406 1.6406 1.6406
Fe 4.1030 2.4593 2.4593
Fe 2.4593 4.1030 2.4593
Fe 2.4593 2.4593 4.1030
Fe 4.1030 4.1030 4.1030
```

## Properties
The formation energy is 1.62 eV per formula unit. The calculation puts the size of the total moment at 6.2 μB per formula unit.

Be2ZnFe: optimized geometry, PBE.

```
4
Lattice="4.2308 -1.2615 0.0000 4.2308 1.2615 0.0000 -1.3613 0.0000 3.7659" Properties=species:S:1:pos:R:3 pbc="T T T"
Be 0.0000 0.0000 0.0000
Be 5.6806 0.0000 1.2125
Zn 0.9580 0.0000 3.1335
Fe 3.3486 0.0000 1.7872
```

## Properties
The formation energy is -0.01 eV per formula unit. The calculation puts the size of the total moment at 1.5 μB per formula unit.

Be2ZnFe: optimized geometry, PBE.

```
4
Lattice="3.6909 0.0000 0.0000 0.0000 1.2397 4.4450 0.0000 -1.2397 4.4450" Properties=species:S:1:pos:R:3 pbc="T T T"
Be 0.0000 0.0000 0.0000
Be 1.8455 0.0000 1.1941
Zn 1.8455 0.0000 3.4716
Fe 0.0000 0.0000 6.4641
```

## Properties
The formation energy is -0.02 eV per formula unit. The calculation puts the size of the total moment at 1.6 μB per formula unit.

BeZn2Fe: optimized geometry, PBE.

```
4
Lattice="2.5870 0.0000 0.0000 0.0000 2.5870 0.0000 0.0000 0.0000 7.1955" Properties=species:S:1:pos:R:3 pbc="T T T"
Be 0.0000 0.0000 0.0000
Zn 1.2935 1.2935 1.6880
Zn 1.2935 1.2935 5.5075
Fe 0.0000 0.0000 3.5977
```

## Properties
The formation energy is 0.39 eV per formula unit. The calculation puts the size of the total moment at 2.5 μB per formula unit.

BeZn2Fe: optimized geometry, PBE.

```
4
Lattice="2.4739 -4.0588 0.0000 2.4739 4.0588 0.0000 -0.7722 0.0000 2.3921" Properties=species:S:1:pos:R:3 pbc="T T T"
Be 0.0000 0.0000 0.0000
Zn 0.8508 2.0294 1.1961
Zn 0.8508 -2.0294 1.1961
Fe 2.4739 0.0000 0.0000
```

## Properties
The formation energy is 0.38 eV per formula unit. The calculation puts the size of the total moment at 1.9 μB per formula unit.